Record 1
# TbZrGaIr | Alexandria via LeMat-Bulk | PBE-GGA | relaxed
# - Total magnetization: 0.00 Bohr magnetons per cell
# - E_form: -0.551 eV/atom
data_TbZrGaIr
_chemical_formula_sum 'Tb4 Zr4 Ga4 Ir4'
_space_group_name_H-M_alt 'F -4 3 m'
_space_group_IT_number 216
_space_group_name_Hall 'F -4 2 3'
_cell_length_a 6.8583
_cell_length_b 6.8583
_cell_length_c 6.8583
_cell_angle_alpha 90.00
_cell_angle_beta 90.00
_cell_angle_gamma 90.00
loop_
_atom_site_label
_atom_site_fract_x
_atom_site_fract_y
_atom_site_fract_z
Tb1 0.0000 0.0000 0.0000
Zr1 0.0000 0.0000 0.5000
Ga1 0.2500 0.2500 0.2500
Ir1 0.2500 0.2500 0.7500

=====

Record 2
# Ga6TcIr | Alexandria via LeMat-Bulk | PBE-GGA | relaxed
# - Total magnetization: 0.00 Bohr magnetons per cell
# - E_form: -0.108 eV/atom
data_Ga6TcIr
_chemical_formula_sum 'Ga18 Tc3 Ir3'
_space_group_name_H-M_alt 'R -3 m'
_space_group_IT_number 166
_space_group_name_Hall '-R 3 2"'
_cell_length_a 8.5143
_cell_length_b 8.5143
_cell_length_c 6.5692
_cell_angle_alpha 90.00
_cell_angle_beta 90.00
_cell_angle_gamma 120.00
loop_
_atom_site_label
_atom_site_fract_x
_atom_site_fract_y
_atom_site_fract_z
Ga1 0.0209 0.5105 0.2959
Tc1 0.0000 0.0000 0.0000
Ir1 0.0000 0.0000 0.5000

=====

Record 3
# GaTcIr | Alexandria via LeMat-Bulk | PBE-GGA | relaxed
# - Total magnetization: 0.00 Bohr magnetons per cell
# - E_form: -0.216 eV/atom
data_GaTcIr
_chemical_formula_sum 'Ga2 Tc2 Ir2'
_space_group_name_H-M_alt 'I 4 m m'
_space_group_IT_number 107
_space_group_name_Hall 'I 4 -2'
_cell_length_a 2.7908
_cell_length_b 2.7908
_cell_length_c 11.2715
_cell_angle_alpha 90.00
_cell_angle_beta 90.00
_cell_angle_gamma 90.00
loop_
_atom_site_label
_atom_site_fract_x
_atom_site_fract_y
_atom_site_fract_z
Ga1 0.0000 0.0000 0.0000
Tc1 0.0000 0.0000 0.6720
Ir1 0.0000 0.0000 0.3288

=====

Record 4
# Ga2Tc2Ir | Alexandria via LeMat-Bulk | PBE-GGA | relaxed
# - Total magnetization: 1.99 Bohr magnetons per cell
# - E_form: 0.111 eV/atom
data_Ga2Tc2Ir
_chemical_formula_sum 'Ga4 Tc4 Ir2'
_space_group_name_H-M_alt 'P 4/m b m'
_space_group_IT_number 127
_space_group_name_Hall '-P 4 2ab'
_cell_length_a 6.7303
_cell_length_b 6.7303
_cell_length_c 3.2552
_cell_angle_alpha 90.00
_cell_angle_beta 90.00
_cell_angle_gamma 90.00
loop_
_atom_site_label
_atom_site_fract_x
_atom_site_fract_y
_atom_site_fract_z
Ga1 0.1347 0.3653 0.0000
Tc1 0.1662 0.6662 0.5000
Ir1 0.0000 0.0000 0.0000

=====

Number 1: total DFT energy (no corrections) -6.82 eV/atom, theoretical density 10.544 g/cm³. Number 2: total DFT energy (no corrections) -4.78 eV/atom, theoretical density 8.559 g/cm³. Number 3: total DFT energy (no corrections) -7.63 eV/atom, theoretical density 13.617 g/cm³. Number 4: total DFT energy (no corrections) -7.02 eV/atom, theoretical density 11.885 g/cm³.